CaAu3O (PBE-GGA, optimized geometry); offset from the most stable computed form = 0.0 meV/atom; DFT total energy = -0.1262 Ha/atom; calculated volume = 99 Å³ per cell; M_tot = 0.0 μB/cell; formation energy (no corrections) = -0.077 eV per atom
1.0
4.622 0.000 0.000
0.000 4.622 0.000
0.000 0.000 4.622
Ca Au O
1 3 1
Direct
0.000 0.000 0.000
0.000 0.500 0.500
0.500 0.000 0.500
0.500 0.500 0.000
0.500 0.500 0.500